{
  "formula": "CaNiF5",
  "functional": "PBE+U",
  "state": "optimized geometry",
  "cell": [[-2.024, 2.595, -4.461], [-1.893, -3.792, -3.574], [-7.668, -0.146, 0.085]],
  "species": ["F", "F", "F", "F", "F", "F", "F", "F", "F", "F", "Ni", "Ni", "Ca", "Ca"],
  "frac_coords": [[0.917, 0.083, 0.250], [0.758, 0.789, 0.616], [0.284, 0.697, 0.469], [0.697, 0.284, 0.969], [0.242, 0.211, 0.384], [0.083, 0.917, 0.750], [0.303, 0.716, 0.031], [0.789, 0.758, 0.116], [0.211, 0.242, 0.884], [0.716, 0.303, 0.531], [0.000, 0.000, 0.000], [0.000, 0.000, 0.500], [0.548, 0.452, 0.250], [0.452, 0.548, 0.750]],
  "crystal_system": "monoclinic",
  "de_polymorph_ev_per_fu": 0.00
}

{
  "formula": "Ca2NiF8",
  "functional": "PBE+U",
  "state": "optimized geometry",
  "cell": [[4.339, 0.065, 1.179], [1.175, 5.651, 1.497], [0.046, 0.034, 5.963]],
  "species": ["F", "F", "F", "F", "F", "F", "F", "F", "Ni", "Ca", "Ca"],
  "frac_coords": [[0.196, 0.591, 0.591], [0.250, 0.704, 0.049], [0.750, 0.296, 0.951], [0.804, 0.409, 0.409], [0.250, 0.049, 0.704], [0.750, 0.951, 0.296], [0.236, 0.117, 0.117], [0.764, 0.883, 0.883], [0.000, 0.000, 0.000], [0.648, 0.659, 0.659], [0.352, 0.341, 0.341]],
  "crystal_system": "monoclinic"
}

| no. | energy (Ry/atom) | volume (Å³/cell) |
| --- | --- | --- |
| 1 | -0.342 | 202 |
| 2 | -0.345 | 145 |